PmPr4Ho2Sc: relaxed, PBE-GGA.

a = 5.927 Å, b = 5.927 Å, c = 7.532 Å
α = 90.00°, β = 90.00°, γ = 90.00°
Space group P4/mmm (No. 123)
Unique sites:
Pm 0.000 0.000 0.000 (multiplicity 1)
Pr 0.000 0.500 0.245 (multiplicity 4)
Ho 0.000 0.000 0.500 (multiplicity 1)
Ho 0.500 0.500 0.500 (multiplicity 1)
Sc 0.500 0.500 0.000 (multiplicity 1)

Computed properties:
The volume is 33.1 A^3/atom. For the uncorrected energy, the calculation gives -4.82 eV/atom. Its formation energy is 102 meV per atom.